Entry 1:
The following is a PBE calculation of Ce3DyHf2N6 after structural relaxation, from Alexandria.

Unit cell a=5.863 b=5.863 c=6.022 alpha=99.33 beta=99.33 gamma=119.99
Element x y z (fractional)
Ce 0.165 0.835 0.500
Ce 0.835 0.165 0.500
Ce 0.500 0.500 0.500
Dy 0.000 0.000 0.000
Hf 0.333 0.667 0.000
Hf 0.667 0.333 0.000
N 0.925 0.575 0.777
N 0.723 0.723 0.220
N 0.075 0.425 0.223
N 0.575 0.925 0.777
N 0.277 0.277 0.780
N 0.425 0.075 0.223

raw formation energy: -1.661 eV/atom
electronic total energy: -9.350 eV per atom
SG: C2/m
spin magnetization: 0.001 Bohr magnetons per cell



Entry 2:
The following is a PBE calculation of RbTaPO2 after structural relaxation, from Alexandria.

Unit cell a=3.996 b=3.996 c=6.126 alpha=90.00 beta=90.00 gamma=90.00
Last column: magnetic moment on the atom in μB.
Element x y z (fractional)
P 0.000 0.000 0.500  -0.16
O 0.000 0.500 0.000  0.16
O 0.500 0.000 0.000  0.16
Rb 0.000 0.000 0.000  0.10
Ta 0.500 0.500 0.500  1.07

raw formation energy: 1.451 eV/atom
electronic total energy: -4.178 eV per atom
energy above the most stable polymorph in this dataset: 14.10 eV per formula unit
SG: P4/mmm
spin magnetization: 1.625 Bohr magnetons per cell



Entry 3:
The following is a PBE calculation of NbSbSe2 after structural relaxation, from Alexandria.

Unit cell a=9.486 b=9.486 c=9.486 alpha=20.93 beta=20.93 gamma=20.93
Element x y z (fractional)
Sb 0.000 0.000 0.000
Nb 0.500 0.500 0.500
Se 0.895 0.895 0.895
Se 0.105 0.105 0.105

raw formation energy: -0.497 eV/atom
electronic total energy: -5.787 eV per atom
SG: R-3m
spin magnetization: 0.000 Bohr magnetons per cell



Entry 4:
The following is a PBE calculation of InPt2Br after structural relaxation, from Alexandria.

Unit cell a=3.662 b=3.653 c=5.791 alpha=90.00 beta=90.00 gamma=90.00
Element x y z (fractional)
Br 0.000 0.000 0.443
Pt 0.000 0.000 0.997
Pt 0.500 0.500 0.267
In 0.500 0.500 0.793

raw formation energy: 0.155 eV/atom
electronic total energy: -3.969 eV per atom
energy above the most stable polymorph in this dataset: 1.15 eV per formula unit
SG: P4mm
spin magnetization: 0.000 Bohr magnetons per cell



Entry 5:
The following is a PBE calculation of Dy3Er2TmBi6 after structural relaxation, from Alexandria.

Unit cell a=4.454 b=8.910 c=9.959 alpha=102.84 beta=102.92 gamma=90.00
Element x y z (fractional)
Dy 0.500 0.500 0.000
Dy 0.833 0.167 0.666
Dy 0.167 0.833 0.334
Er 0.833 0.667 0.667
Er 0.167 0.333 0.333
Tm 0.500 0.000 0.000
Bi 0.334 0.916 0.668
Bi 0.667 0.582 0.334
Bi 0.666 0.084 0.332
Bi 0.000 0.248 0.001
Bi 0.000 0.752 0.999
Bi 0.333 0.418 0.666

electronic total energy: -5.055 eV per atom
SG: C2/m
energy of formation from the pure elements: -0.831 eV per atom
spin magnetization: 0.000 Bohr magnetons per cell



Entry 6:
The following is a PBE calculation of MgMnCu2S4 after structural relaxation, from Alexandria.

Unit cell a=5.396 b=5.396 c=6.541 alpha=114.40 beta=114.40 gamma=90.00
Last column: magnetic moment on the atom in μB.
Element x y z (fractional)
Mg 0.000 0.000 0.000  0.01
Mn 0.500 0.500 0.000  3.24
Cu 0.750 0.250 0.500  -0.14
Cu 0.250 0.750 0.500  -0.14
S 0.601 0.601 0.738  -0.06
S 0.399 0.863 0.262  -0.06
S 0.863 0.399 0.262  -0.06
S 0.137 0.137 0.738  -0.06

raw formation energy: -0.605 eV/atom
electronic total energy: -5.039 eV per atom
SG: I-42m
spin magnetization: 2.993 Bohr magnetons per cell



Entry 7:
The following is a PBE calculation of CsScTeSe after structural relaxation, from Alexandria.

Unit cell a=4.205 b=4.206 c=8.948 alpha=90.00 beta=103.59 gamma=120.01
Element x y z (fractional)
Cs 0.959 0.378 0.351
Sc 0.314 0.555 0.885
Te 0.516 0.156 0.688
Se 0.088 0.942 0.046

raw formation energy: -1.387 eV/atom
electronic total energy: -4.839 eV per atom
SG: R3m
spin magnetization: 0.000 Bohr magnetons per cell



Entry 8:
The following is a PBE calculation of Pm5In2Pb after structural relaxation, from Alexandria.

Unit cell a=8.662 b=8.662 c=9.029 alpha=118.67 beta=118.67 gamma=90.00
Element x y z (fractional)
Pm 0.509 0.690 0.699
Pm 0.810 0.991 0.301
Pm 0.000 0.000 0.000
Pm 0.500 0.500 0.000
Pm 0.190 0.009 0.699
Pm 0.690 0.190 0.699
Pm 0.009 0.509 0.699
Pm 0.310 0.810 0.301
Pm 0.991 0.491 0.301
Pm 0.491 0.310 0.301
In 0.138 0.362 0.000
In 0.638 0.138 0.000
In 0.362 0.862 0.000
In 0.862 0.638 0.000
Pb 0.750 0.750 0.500
Pb 0.250 0.250 0.500

electronic total energy: -4.536 eV per atom
SG: I4/mcm
energy of formation from the pure elements: -0.419 eV per atom
spin magnetization: 0.000 Bohr magnetons per cell



Entry 9:
The following is a PBE calculation of Fe4Pt3Rh after structural relaxation, from Alexandria.

Unit cell a=3.189 b=3.189 c=11.069 alpha=90.00 beta=90.00 gamma=90.00
Last column: magnetic moment on the atom in μB.
Element x y z (fractional)
Rh 0.500 0.500 0.000  -0.82
Fe 0.000 0.000 0.877  -3.07
Fe 0.000 0.000 0.123  -3.07
Fe 0.000 0.000 0.377  2.98
Fe 0.000 0.000 0.623  2.98
Pt 0.500 0.500 0.250  0.00
Pt 0.500 0.500 0.500  0.29
Pt 0.500 0.500 0.750  0.00

electronic total energy: -7.515 eV per atom
SG: P4/mmm
energy of formation from the pure elements: -0.100 eV per atom
spin magnetization: 0.697 Bohr magnetons per cell



Entry 10:
The following is a PBE calculation of K2GaBi3 after structural relaxation, from Alexandria.

Unit cell a=6.722 b=6.722 c=12.564 alpha=90.00 beta=90.00 gamma=120.00
Element x y z (fractional)
K 0.000 0.000 0.000
K 0.667 0.333 0.407
K 0.000 0.000 0.500
K 0.333 0.667 0.593
Ga 0.333 0.667 0.078
Ga 0.667 0.333 0.922
Bi 0.158 0.315 0.261
Bi 0.685 0.842 0.261
Bi 0.158 0.842 0.261
Bi 0.842 0.685 0.739
Bi 0.842 0.158 0.739
Bi 0.315 0.158 0.739

electronic total energy: -2.915 eV per atom
SG: P-3m1
energy of formation from the pure elements: -0.104 eV per atom
spin magnetization: 0.000 Bohr magnetons per cell



Entry 11:
The following is a PBE calculation of Ta2AsSe after structural relaxation, from Alexandria.

Unit cell a=3.217 b=3.217 c=6.508 alpha=90.00 beta=90.00 gamma=90.00
Element x y z (fractional)
As 0.500 0.500 0.250
Se 0.500 0.500 0.750
Ta 0.000 0.000 0.016
Ta 0.000 0.000 0.484

raw formation energy: -0.228 eV/atom
electronic total energy: -8.188 eV per atom
energy above the most stable polymorph in this dataset: 0.68 eV per formula unit
SG: P4/mmm
spin magnetization: 0.000 Bohr magnetons per cell



Entry 12:
The following is a PBE calculation of Ca2FeHg after structural relaxation, from Alexandria.

Unit cell a=3.573 b=3.573 c=8.323 alpha=90.00 beta=90.00 gamma=90.00
Last column: magnetic moment on the atom in μB.
Element x y z (fractional)
Ca 0.000 0.000 0.937  0.00
Ca 0.500 0.500 0.317  -0.08
Hg 0.500 0.500 0.699  -0.03
Fe 0.000 0.000 0.547  2.83

electronic total energy: -3.037 eV per atom
SG: P4mm
energy of formation from the pure elements: 0.155 eV per atom
spin magnetization: 2.551 Bohr magnetons per cell



Entry 13:
The following is a PBE calculation of Y2Tm after structural relaxation, from Alexandria.

Unit cell a=4.135 b=4.135 c=6.326 alpha=109.14 beta=109.14 gamma=90.06
Element x y z (fractional)
Y 0.164 0.164 0.327
Y 0.836 0.836 0.673
Tm 0.500 0.500 0.000

electronic total energy: -5.678 eV per atom
energy above the most stable polymorph in this dataset: 0.36 eV per formula unit
SG: C2/m
energy of formation from the pure elements: 0.122 eV per atom
spin magnetization: 0.001 Bohr magnetons per cell



Entry 14:
The following is a PBE calculation of NiMo2Br after structural relaxation, from Alexandria.

Unit cell a=2.917 b=2.917 c=8.248 alpha=90.00 beta=90.00 gamma=90.00
Element x y z (fractional)
Br 0.500 0.500 0.798
Mo 0.000 0.000 0.011
Mo 0.500 0.500 0.250
Ni 0.000 0.000 0.441

raw formation energy: 0.523 eV/atom
electronic total energy: -6.757 eV per atom
energy above the most stable polymorph in this dataset: 0.67 eV per formula unit
SG: P4mm
spin magnetization: 0.000 Bohr magnetons per cell



Entry 15:
The following is a PBE calculation of Na3ZrTi3Se8 after structural relaxation, from Alexandria.

Unit cell a=7.448 b=7.448 c=8.344 alpha=116.51 beta=90.00 gamma=120.00
Last column: magnetic moment on the atom in μB.
Element x y z (fractional)
Na 0.000 0.000 0.000  0.00
Na 0.000 0.500 0.000  0.00
Na 0.500 0.500 0.000  0.00
Zr 0.000 0.000 0.500  0.16
Ti 0.500 0.000 0.500  0.66
Ti 0.500 0.500 0.500  0.66
Ti 0.000 0.500 0.500  0.66
Se 0.263 0.525 0.288  -0.02
Se 0.737 0.475 0.712  -0.02
Se 0.755 0.509 0.283  -0.02
Se 0.245 0.491 0.717  -0.02
Se 0.754 0.028 0.283  -0.02
Se 0.246 0.972 0.717  -0.02
Se 0.273 0.028 0.283  -0.02
Se 0.727 0.972 0.717  -0.02

raw formation energy: -1.217 eV/atom
electronic total energy: -5.488 eV per atom
SG: R-3m
spin magnetization: 2.456 Bohr magnetons per cell



Entry 16:
The following is a PBE calculation of ZrAlCoCl2 after structural relaxation, from Alexandria.

Unit cell a=4.993 b=4.993 c=5.005 alpha=90.00 beta=90.00 gamma=90.00
Last column: magnetic moment on the atom in μB.
Element x y z (fractional)
Co 0.000 0.000 0.500  1.19
Al 0.500 0.500 0.500  -0.02
Zr 0.000 0.000 0.000  -0.31
Cl 0.000 0.500 0.000  -0.01
Cl 0.500 0.000 0.000  -0.01

raw formation energy: 0.051 eV/atom
electronic total energy: -4.567 eV per atom
SG: P4/mmm
spin magnetization: 0.594 Bohr magnetons per cell



Entry 17:
The following is a PBE calculation of MgBeHg2 after structural relaxation, from Alexandria.

Unit cell a=4.569 b=3.284 c=6.195 alpha=57.20 beta=90.00 gamma=90.00
Element x y z (fractional)
Be 0.500 0.861 0.766
Mg 0.000 0.637 0.489
Hg 0.000 0.675 0.949
Hg 0.500 0.328 0.297

electronic total energy: -1.323 eV per atom
energy above the most stable polymorph in this dataset: 0.00 eV per formula unit
SG: Pm
energy of formation from the pure elements: 0.158 eV per atom
spin magnetization: 0.000 Bohr magnetons per cell



Entry 18:
The following is a PBE calculation of Nd5Sm5Ho after structural relaxation, from Alexandria.

Unit cell a=6.114 b=10.023 c=7.051 alpha=110.03 beta=90.00 gamma=107.76
Element x y z (fractional)
Nd 0.825 0.651 0.070
Nd 0.825 0.650 0.581
Nd 0.500 0.000 0.000
Nd 0.175 0.350 0.419
Nd 0.175 0.349 0.930
Sm 0.670 0.339 0.173
Sm 0.625 0.249 0.629
Sm 0.000 0.000 0.500
Sm 0.375 0.751 0.371
Sm 0.330 0.661 0.827
Ho 0.000 0.000 0.000

electronic total energy: -4.486 eV per atom
SG: C2/m
energy of formation from the pure elements: 0.242 eV per atom
spin magnetization: 0.037 Bohr magnetons per cell



Entry 19:
The following is a PBE calculation of AsPd after structural relaxation, from Alexandria.

Unit cell a=7.409 b=4.693 c=6.496 alpha=90.00 beta=90.00 gamma=90.00
Element x y z (fractional)
As 0.678 0.377 0.590
As 0.822 0.623 0.090
As 0.322 0.377 0.590
As 0.178 0.623 0.090
As 0.000 0.006 0.572
As 0.500 0.994 0.072
Pd 0.799 0.121 0.257
Pd 0.701 0.879 0.757
Pd 0.201 0.121 0.257
Pd 0.299 0.879 0.757
Pd 0.000 0.502 0.734
Pd 0.500 0.498 0.234

electronic total energy: -5.080 eV per atom
SG: Pmn2_1
energy of formation from the pure elements: -0.159 eV per atom
spin magnetization: 0.000 Bohr magnetons per cell



Entry 20:
The following is a PBE calculation of LaHfHg2 after structural relaxation, from Alexandria.

Unit cell a=3.586 b=3.586 c=7.793 alpha=90.00 beta=90.00 gamma=90.00
Last column: magnetic moment on the atom in μB.
Element x y z (fractional)
Hf 0.500 0.500 0.000  0.10
Hg 0.000 0.000 0.788  0.01
Hg 0.000 0.000 0.212  0.01
La 0.500 0.500 0.500  0.23

electronic total energy: -4.066 eV per atom
energy above the most stable polymorph in this dataset: 0.00 eV per formula unit
SG: P4/mmm
energy of formation from the pure elements: -0.195 eV per atom
spin magnetization: 0.626 Bohr magnetons per cell



Entry 21:
The following is a PBE calculation of Ca2HgPd2 after structural relaxation, from Alexandria.

Unit cell a=5.563 b=5.563 c=5.659 alpha=60.56 beta=60.56 gamma=90.00
Element x y z (fractional)
Ca 0.750 0.250 0.500
Ca 0.250 0.750 0.500
Hg 0.000 0.000 0.000
Pd 0.339 0.339 0.321
Pd 0.661 0.661 0.679

electronic total energy: -3.439 eV per atom
SG: I4/mmm
energy of formation from the pure elements: -0.501 eV per atom
spin magnetization: 0.000 Bohr magnetons per cell



Entry 22:
The following is a PBE calculation of CsSiBi2 after structural relaxation, from Alexandria.

Unit cell a=8.760 b=8.760 c=7.441 alpha=53.94 beta=53.94 gamma=90.00
Element x y z (fractional)
Cs 0.000 0.000 0.000
Cs 0.750 0.250 0.500
Si 0.500 0.500 0.000
Si 0.250 0.750 0.500
Bi 0.523 0.125 0.250
Bi 0.227 0.625 0.250
Bi 0.375 0.477 0.750
Bi 0.875 0.773 0.750

raw formation energy: 0.082 eV/atom
electronic total energy: -3.428 eV per atom
SG: I-42d
spin magnetization: 0.000 Bohr magnetons per cell



Entry 23:
The following is a PBE calculation of NpAlCdO6 after structural relaxation, from Alexandria.

Unit cell a=5.252 b=5.252 c=9.719 alpha=90.00 beta=90.00 gamma=120.00
Element x y z (fractional)
Np 0.333 0.667 0.250
Np 0.667 0.333 0.750
Al 0.667 0.333 0.250
Al 0.333 0.667 0.750
Cd 0.000 0.000 0.000
Cd 0.000 0.000 0.500
O 0.645 0.630 0.142
O 0.985 0.355 0.142
O 0.355 0.985 0.642
O 0.015 0.645 0.858
O 0.370 0.355 0.358
O 0.985 0.630 0.358
O 0.630 0.985 0.858
O 0.645 0.015 0.358
O 0.015 0.370 0.642
O 0.370 0.015 0.142
O 0.630 0.645 0.642
O 0.355 0.370 0.858

raw formation energy: -2.271 eV/atom
electronic total energy: -7.531 eV per atom
SG: P-31c
spin magnetization: 0.000 Bohr magnetons per cell



Entry 24:
The following is a PBE calculation of Rb2Sc2Bi2Te after structural relaxation, from Alexandria.

Unit cell a=5.397 b=5.397 c=10.156 alpha=105.41 beta=105.41 gamma=90.00
Element x y z (fractional)
Rb 0.186 0.186 0.373
Rb 0.814 0.814 0.627
Sc 0.000 0.500 0.000
Sc 0.500 0.000 0.000
Bi 0.398 0.398 0.796
Bi 0.602 0.602 0.204
Te 0.000 0.000 0.000

raw formation energy: -0.607 eV/atom
electronic total energy: -4.250 eV per atom
SG: I4/mmm
spin magnetization: 0.000 Bohr magnetons per cell



Entry 25:
The following is a PBE calculation of NdTlIn2Br6 after structural relaxation, from Alexandria.

Unit cell a=8.197 b=8.198 c=8.526 alpha=61.26 beta=61.25 gamma=59.98
Element x y z (fractional)
Nd 0.322 0.322 0.034
Tl 0.814 0.814 0.559
In 0.523 0.522 0.432
In 0.017 0.016 0.951
Br 0.573 0.208 0.244
Br 0.208 0.974 0.244
Br 0.974 0.574 0.244
Br 0.420 0.682 0.769
Br 0.682 0.129 0.769
Br 0.129 0.420 0.769

raw formation energy: -1.193 eV/atom
electronic total energy: -3.458 eV per atom
SG: R3
spin magnetization: 0.000 Bohr magnetons per cell